Computed, not measured: Ce2Tm2In5 after structural relaxation at the PBE level of DFT.

Unit cell a=9.6684 b=9.6684 c=9.6684 alpha=138.72 beta=78.33 gamma=116.79
Closest atoms and distances in Å follow each position.
Fractional coordinates of all 18 atoms:
Ce  0.1449  0.0158  0.1291  6 In 3.19-3.44
Ce  0.3866  0.0158  0.3709  6 In 3.19-3.44
Ce  0.6134  0.9842  0.6291  6 In 3.19-3.44
Ce  0.8551  0.9842  0.8709  6 In 3.19-3.44
Tm  0.0000  0.5000  0.5000  4 In 3.12
Tm  0.2334  0.4834  0.7500  6 In 3.19-3.27
Tm  0.5000  0.5000  0.0000  4 In 3.12
Tm  0.7666  0.5166  0.2500  6 In 3.19-3.27
In  0.0984  0.0000  0.5984  2 In 2.92-2.95, 2 Ce 3.20, 2 Tm 3.27
In  0.0984  0.5000  0.0984  2 In 2.92-2.95, 2 Ce 3.20, 2 Tm 3.27
In  0.2932  0.0000  0.7932  2 In 2.92-3.10, 2 Tm 3.12, 2 Ce 3.19
In  0.2932  0.5000  0.2932  2 In 2.92-3.10, 2 Tm 3.12, 2 Ce 3.19
In  0.5000  0.0000  0.0000  4 In 3.10-3.41, 2 Tm 3.19, 4 Ce 3.44
In  0.5000  0.5000  0.5000  4 In 3.10-3.41, 2 Tm 3.19, 4 Ce 3.44
In  0.7068  0.0000  0.2068  2 In 2.92-3.10, 2 Tm 3.12, 2 Ce 3.19
In  0.7068  0.5000  0.7068  2 In 2.92-3.10, 2 Tm 3.12, 2 Ce 3.19
In  0.9016  0.0000  0.4016  2 In 2.92-2.95, 2 Ce 3.20, 2 Tm 3.27
In  0.9016  0.5000  0.9016  2 In 2.92-2.95, 2 Ce 3.20, 2 Tm 3.27

Properties
Volume = 28.76 Å³ per atom
DOS at the Fermi energy = 1.8673 states/eV/atom
Calculated formation energy = -0.162 eV/atom
Space group = Imma

---

Computed, not measured: Be2SnPb2O6 after structural relaxation at the PBE level of DFT.

Unit cell a=5.1359 b=5.1359 c=7.9472 alpha=90.00 beta=90.00 gamma=120.00
Closest atoms and distances in Å follow each position.
Fractional coordinates of all 11 atoms:
Be  0.3333  0.6667  0.3568  3 O 1.55
Be  0.6667  0.3333  0.6432  3 O 1.55
Sn  0.0000  0.0000  0.5000  6 O 2.10
Pb  0.3333  0.6667  0.8048  3 O 2.25
Pb  0.6667  0.3333  0.1952  3 O 2.25
O  0.0478  0.6964  0.3451  1 Be 1.55
O  0.3036  0.3515  0.3451  1 Be 1.55
O  0.3515  0.0478  0.6549  1 Be 1.55
O  0.6485  0.9522  0.3451  1 Be 1.55
O  0.6964  0.6485  0.6549  1 Be 1.55
O  0.9522  0.3036  0.6549  1 Be 1.55

Properties
Volume = 16.50 Å³ per atom
DOS at the Fermi energy = 0.0000 states/eV/atom
Space group = P-3

---

no.,uncorrected energy (eV/atom)
1,-4.00
2,-6.21